Crystalline PmHo5ErTm2 at its relaxed geometry. Source: Alexandria via LeMat-Bulk, functional PBE.

## Properties
ΔE_f, eV/atom: 0.164
E_tot, eV/atom: -4.4080
Mass density, g/cm3: 8.5
Crystal system: orthorhombic
Magnetic moment, Bohr magnetons per cell: 0.0

abc: 5.560 10.225 10.492
angles: 90.00 90.00 105.78
Fractional positions:
Pm 0.585 0.169 0.952
Pm 0.415 0.831 0.452
Ho 0.388 0.775 0.023
Ho 0.719 0.437 0.812
Ho 0.479 0.957 0.737
Ho 0.299 0.597 0.709
Ho 0.982 0.964 0.524
Ho 0.612 0.225 0.523
Ho 0.281 0.563 0.312
Ho 0.521 0.043 0.237
Ho 0.701 0.403 0.209
Ho 0.018 0.036 0.024
Er 0.801 0.601 0.512
Er 0.199 0.399 0.012
Tm 0.887 0.773 0.818
Tm 0.111 0.221 0.736
Tm 0.113 0.227 0.318
Tm 0.889 0.779 0.236

***

Crystalline Pm2Ho2Er2Tm at its relaxed geometry. Source: Alexandria via LeMat-Bulk, functional PBE.

## Properties
ΔE_f, eV/atom: 0.144
E_tot, eV/atom: -4.4640
Mass density, g/cm3: 8.3
Crystal system: trigonal
Magnetic moment, Bohr magnetons per cell: 0.0

abc: 5.651 5.651 8.748
angles: 71.16 71.16 60.00
Fractional positions:
Pm 0.138 0.138 0.585
Pm 0.862 0.862 0.415
Ho 0.575 0.575 0.275
Ho 0.425 0.425 0.725
Er 0.715 0.715 0.854
Er 0.285 0.285 0.146
Tm 0.000 0.000 0.000

***

Crystalline PmHo3Er6Tm2 at its relaxed geometry. Source: Alexandria via LeMat-Bulk, functional PBE.

## Properties
ΔE_f, eV/atom: 0.021
E_tot, eV/atom: -4.5457
Mass density, g/cm3: 8.9
Crystal system: monoclinic
Magnetic moment, Bohr magnetons per cell: 0.0

abc: 6.088 6.088 11.661
angles: 94.98 94.98 119.94
Fractional positions:
Pm 0.000 0.000 0.000
Ho 0.167 0.833 0.500
Ho 0.833 0.167 0.500
Ho 0.500 0.500 0.500
Er 0.916 0.582 0.749
Er 0.750 0.750 0.251
Er 0.084 0.418 0.251
Er 0.582 0.916 0.749
Er 0.250 0.250 0.749
Er 0.418 0.084 0.251
Tm 0.333 0.667 0.000
Tm 0.667 0.333 0.000

***

Crystalline PmHo2Er3Tm6 at its relaxed geometry. Source: Alexandria via LeMat-Bulk, functional PBE.

## Properties
ΔE_f, eV/atom: 0.024
E_tot, eV/atom: -4.5114
Mass density, g/cm3: 9.0
Crystal system: monoclinic
Magnetic moment, Bohr magnetons per cell: 0.0

abc: 6.078 6.078 11.625
angles: 94.99 94.99 119.93
Fractional positions:
Pm 0.000 0.000 0.000
Ho 0.333 0.667 0.000
Ho 0.667 0.333 0.000
Er 0.167 0.833 0.500
Er 0.833 0.167 0.500
Er 0.500 0.500 0.500
Tm 0.916 0.582 0.748
Tm 0.751 0.751 0.252
Tm 0.084 0.418 0.252
Tm 0.582 0.916 0.748
Tm 0.249 0.249 0.748
Tm 0.418 0.084 0.252

***

Crystalline Pm6HoEr2Tm at its relaxed geometry. Source: Alexandria via LeMat-Bulk, functional PBE.

## Properties
ΔE_f, eV/atom: 0.118
E_tot, eV/atom: -4.5500
Mass density, g/cm3: 7.7
Crystal system: monoclinic
Magnetic moment, Bohr magnetons per cell: 0.0

abc: 9.581 8.883 8.883
angles: 117.68 93.87 93.87
Fractional positions:
Pm 0.054 0.117 0.762
Pm 0.446 0.238 0.883
Pm 0.946 0.883 0.238
Pm 0.554 0.762 0.117
Pm 0.313 0.988 0.435
Pm 0.187 0.565 0.012
Pm 0.687 0.012 0.565
Pm 0.813 0.435 0.988
Pm 0.119 0.708 0.491
Pm 0.381 0.509 0.292
Pm 0.881 0.292 0.509
Pm 0.619 0.491 0.708
Ho 0.250 0.410 0.590
Ho 0.750 0.590 0.410
Er 0.454 0.800 0.702
Er 0.046 0.298 0.200
Er 0.546 0.200 0.298
Er 0.954 0.702 0.800
Tm 0.250 0.972 0.028
Tm 0.750 0.028 0.972

***

Crystalline Pm6HoEr3Tm2 at its relaxed geometry. Source: Alexandria via LeMat-Bulk, functional PBE.

## Properties
ΔE_f, eV/atom: 0.014
E_tot, eV/atom: -4.6285
Mass density, g/cm3: 8.1
Crystal system: monoclinic
Magnetic moment, Bohr magnetons per cell: 0.0

abc: 6.210 6.210 11.737
angles: 95.04 95.04 119.98
Fractional positions:
Pm 0.916 0.583 0.750
Pm 0.750 0.750 0.250
Pm 0.084 0.417 0.250
Pm 0.583 0.916 0.750
Pm 0.250 0.250 0.750
Pm 0.417 0.084 0.250
Ho 0.000 0.000 0.000
Er 0.167 0.833 0.500
Er 0.833 0.167 0.500
Er 0.500 0.500 0.500
Tm 0.333 0.667 0.000
Tm 0.667 0.333 0.000

***

Crystalline Pm6HoEr2Tm3 at its relaxed geometry. Source: Alexandria via LeMat-Bulk, functional PBE.

## Properties
ΔE_f, eV/atom: 0.015
E_tot, eV/atom: -4.6205
Mass density, g/cm3: 8.1
Crystal system: monoclinic
Magnetic moment, Bohr magnetons per cell: 0.0

abc: 6.207 6.207 11.725
angles: 95.04 95.04 119.98
Fractional positions:
Pm 0.916 0.583 0.749
Pm 0.751 0.751 0.251
Pm 0.084 0.417 0.251
Pm 0.583 0.916 0.749
Pm 0.249 0.249 0.749
Pm 0.417 0.084 0.251
Ho 0.000 0.000 0.000
Er 0.333 0.667 0.000
Er 0.667 0.333 0.000
Tm 0.167 0.833 0.500
Tm 0.833 0.167 0.500
Tm 0.500 0.500 0.500

***

Crystalline Pm4Ho2Er2Tm at its relaxed geometry. Source: Alexandria via LeMat-Bulk, functional PBE.

## Properties
ΔE_f, eV/atom: 0.021
E_tot, eV/atom: -4.6185
Mass density, g/cm3: 8.1
Crystal system: monoclinic
Magnetic moment, Bohr magnetons per cell: 0.0

abc: 5.047 7.990 7.990
angles: 107.48 90.00 108.41
Fractional positions:
Pm 0.777 0.555 0.667
Pm 0.223 0.445 0.333
Pm 0.554 0.108 0.331
Pm 0.446 0.892 0.669
Ho 0.333 0.667 0.000
Ho 0.667 0.333 0.000
Er 0.889 0.777 0.331
Er 0.111 0.223 0.669
Tm 0.000 0.000 0.000

***

Crystalline Pm4HoEr2Tm2 at its relaxed geometry. Source: Alexandria via LeMat-Bulk, functional PBE.

## Properties
ΔE_f, eV/atom: 0.022
E_tot, eV/atom: -4.6056
Mass density, g/cm3: 8.1
Crystal system: monoclinic
Magnetic moment, Bohr magnetons per cell: 0.0

abc: 5.035 7.982 7.981
angles: 107.40 90.00 108.39
Fractional positions:
Pm 0.777 0.554 0.668
Pm 0.223 0.446 0.332
Pm 0.554 0.108 0.331
Pm 0.446 0.892 0.669
Ho 0.000 0.000 0.000
Er 0.889 0.777 0.331
Er 0.111 0.223 0.669
Tm 0.333 0.665 0.000
Tm 0.667 0.335 0.000

***

Crystalline PmHo2ErTm4 at its relaxed geometry. Source: Alexandria via LeMat-Bulk, functional PBE.

## Properties
ΔE_f, eV/atom: 0.451
E_tot, eV/atom: -4.0934
Mass density, g/cm3: 8.5
Crystal system: orthorhombic
Magnetic moment, Bohr magnetons per cell: 6.0

abc: 9.427 9.427 11.645
angles: 128.14 128.14 88.99
Fractional positions:
Pm 0.000 0.500 0.000
Pm 0.000 0.500 0.500
Ho 0.500 0.000 0.000
Ho 0.500 0.000 0.500
Ho 0.000 0.000 0.500
Ho 0.500 0.500 0.000
Er 0.500 0.500 0.500
Er 0.000 0.000 0.000
Tm 0.250 0.752 0.001
Tm 0.748 0.250 0.499
Tm 0.252 0.750 0.501
Tm 0.750 0.248 0.999
Tm 0.749 0.752 0.000
Tm 0.748 0.751 0.500
Tm 0.252 0.249 0.500
Tm 0.251 0.248 0.000

***

Crystalline PmHoEr3Tm at its relaxed geometry. Source: Alexandria via LeMat-Bulk, functional PBE.

## Properties
ΔE_f, eV/atom: 0.023
E_tot, eV/atom: -4.5584
Mass density, g/cm3: 8.7
Crystal system: orthorhombic
Magnetic moment, Bohr magnetons per cell: 0.0

abc: 4.990 7.890 9.990
angles: 90.00 90.00 108.47
Fractional positions:
Pm 0.500 0.000 0.750
Pm 0.500 0.000 0.250
Ho 0.000 0.000 0.500
Ho 0.000 0.000 0.000
Er 0.667 0.335 0.500
Er 0.333 0.665 0.500
Er 0.333 0.665 0.000
Er 0.667 0.335 0.000
Er 0.168 0.336 0.750
Er 0.832 0.664 0.250
Tm 0.832 0.664 0.750
Tm 0.168 0.336 0.250

***

Crystalline PmHo6ErTm2 at its relaxed geometry. Source: Alexandria via LeMat-Bulk, functional PBE.

## Properties
ΔE_f, eV/atom: 0.122
E_tot, eV/atom: -4.4502
Mass density, g/cm3: 8.6
Crystal system: monoclinic
Magnetic moment, Bohr magnetons per cell: 0.0

abc: 9.432 8.717 8.717
angles: 117.54 93.43 93.43
Fractional positions:
Pm 0.250 0.974 0.026
Pm 0.750 0.026 0.974
Ho 0.057 0.123 0.753
Ho 0.443 0.247 0.877
Ho 0.943 0.877 0.247
Ho 0.557 0.753 0.123
Ho 0.317 0.984 0.435
Ho 0.183 0.565 0.016
Ho 0.683 0.016 0.565
Ho 0.817 0.435 0.984
Ho 0.118 0.709 0.490
Ho 0.382 0.510 0.291
Ho 0.882 0.291 0.510
Ho 0.618 0.490 0.709
Er 0.250 0.410 0.590
Er 0.750 0.590 0.410
Tm 0.453 0.800 0.695
Tm 0.047 0.305 0.200
Tm 0.547 0.200 0.305
Tm 0.953 0.695 0.800